# 1
# Sc3Cd, optimized geometry, DFT GGA-PBEsol
# Magnetic moment in μB/f.u.: 0.0
# Polymorph energy (0 for the lowest one) in meV per atom: 49.3
# D(E_F) in states/eV per cell: 5.7
# Calculated formation energy in eV per atom: -0.11
data_Sc3Cd
_chemical_formula_sum 'Sc3 Cd1'
_space_group_name_H-M_alt 'P m m m'
_space_group_IT_number 47
_space_group_name_Hall '-P 2 2'
_cell_length_a 3.224
_cell_length_b 4.437
_cell_length_c 6.213
_cell_angle_alpha 90.00
_cell_angle_beta 90.00
_cell_angle_gamma 90.00
loop_
_atom_site_label
_atom_site_type_symbol
_atom_site_fract_x
_atom_site_fract_y
_atom_site_fract_z
Sc1 Sc 0.000 0.000 0.000
Sc2 Sc 0.500 0.500 0.251
Cd1 Cd 0.000 0.000 0.500



# 2
# Sc3Cd, optimized geometry, DFT GGA-PBEsol
# Magnetic moment in μB/f.u.: 0.0
# Polymorph energy (0 for the lowest one) in meV per atom: 4.3
# D(E_F) in states/eV per cell: 7.6
# Calculated formation energy in eV per atom: -0.15
data_Sc3Cd
_chemical_formula_sum 'Sc6 Cd2'
_space_group_name_H-M_alt 'I m m m'
_space_group_IT_number 71
_space_group_name_Hall '-I 2 2'
_cell_length_a 3.543
_cell_length_b 4.854
_cell_length_c 10.341
_cell_angle_alpha 90.00
_cell_angle_beta 90.00
_cell_angle_gamma 90.00
loop_
_atom_site_label
_atom_site_type_symbol
_atom_site_fract_x
_atom_site_fract_y
_atom_site_fract_z
Sc1 Sc 0.000 0.000 0.000
Sc2 Sc 0.000 0.500 0.230
Cd1 Cd 0.000 0.000 0.500



# 3
# Sc2Cd3, optimized geometry, DFT GGA-PBEsol
# Magnetic moment in μB/f.u.: 0.0
# D(E_F) in states/eV per cell: 11.1
# Calculated formation energy in eV per atom: -0.13
data_Sc2Cd3
_chemical_formula_sum 'Sc6 Cd9'
_space_group_name_H-M_alt 'R -3 m'
_space_group_IT_number 166
_space_group_name_Hall '-R 3 2"'
_cell_length_a 3.2513
_cell_length_b 3.2513
_cell_length_c 35.8861
_cell_angle_alpha 90.00
_cell_angle_beta 90.00
_cell_angle_gamma 120.00
loop_
_atom_site_label
_atom_site_type_symbol
_atom_site_fract_x
_atom_site_fract_y
_atom_site_fract_z
Sc1 Sc 0.0000 0.0000 0.0998
Cd1 Cd 0.0000 0.0000 0.3003
Cd2 Cd 0.0000 0.0000 0.5000



# 4
# Sc3Cd, optimized geometry, DFT GGA-PBEsol
# Magnetic moment in μB/f.u.: 0.7
# Polymorph energy (0 for the lowest one) in meV per atom: 11.3
# D(E_F) in states/eV per cell: 5.0
# Calculated formation energy in eV per atom: -0.14
data_Sc3Cd
_chemical_formula_sum 'Sc3 Cd1'
_space_group_name_H-M_alt 'P m -3 m'
_space_group_IT_number 221
_space_group_name_Hall '-P 4 2 3'
_cell_length_a 4.440
_cell_length_b 4.440
_cell_length_c 4.440
_cell_angle_alpha 90.00
_cell_angle_beta 90.00
_cell_angle_gamma 90.00
loop_
_atom_site_label
_atom_site_type_symbol
_atom_site_fract_x
_atom_site_fract_y
_atom_site_fract_z
Sc1 Sc 0.000 0.000 0.500
Cd1 Cd 0.500 0.500 0.500



# 5
# ScCd4, optimized geometry, DFT GGA-PBEsol
# Magnetic moment in μB/f.u.: 0.0
# D(E_F) in states/eV per cell: 5.0
# Calculated formation energy in eV per atom: -0.13
data_ScCd4
_chemical_formula_sum 'Sc2 Cd8'
_space_group_name_H-M_alt 'I 4/m'
_space_group_IT_number 87
_space_group_name_Hall '-I 4'
_cell_length_a 6.721
_cell_length_b 6.721
_cell_length_c 4.562
_cell_angle_alpha 90.00
_cell_angle_beta 90.00
_cell_angle_gamma 90.00
loop_
_atom_site_label
_atom_site_type_symbol
_atom_site_fract_x
_atom_site_fract_y
_atom_site_fract_z
Sc1 Sc 0.000 0.000 0.000
Cd1 Cd 0.080 0.299 0.500



# 6
# Sc4Cd5, optimized geometry, DFT GGA-PBEsol
# Magnetic moment in μB/f.u.: 0.0
# Polymorph energy (0 for the lowest one) in meV per atom: 8.1
# D(E_F) in states/eV per cell: 15.8
# Calculated formation energy in eV per atom: -0.23
data_Sc4Cd5
_chemical_formula_sum 'Sc8 Cd10'
_space_group_name_H-M_alt 'I 4/m m m'
_space_group_IT_number 139
_space_group_name_Hall '-I 4 2'
_cell_length_a 9.101
_cell_length_b 9.101
_cell_length_c 4.598
_cell_angle_alpha 90.00
_cell_angle_beta 90.00
_cell_angle_gamma 90.00
loop_
_atom_site_label
_atom_site_type_symbol
_atom_site_fract_x
_atom_site_fract_y
_atom_site_fract_z
Sc1 Sc 0.000 0.327 0.000
Cd1 Cd 0.000 0.000 0.000
Cd2 Cd 0.167 0.167 0.500



# 7
# Sc3Cd, optimized geometry, DFT GGA-PBEsol
# Magnetic moment in μB/f.u.: 0.3
# Polymorph energy (0 for the lowest one) in meV per atom: 1184.1
# D(E_F) in states/eV per cell: 6.1
# Calculated formation energy in eV per atom: 1.03
data_Sc3Cd
_chemical_formula_sum 'Sc3 Cd1'
_space_group_name_H-M_alt 'P m -3 m'
_space_group_IT_number 221
_space_group_name_Hall '-P 4 2 3'
_cell_length_a 5.329
_cell_length_b 5.329
_cell_length_c 5.329
_cell_angle_alpha 90.00
_cell_angle_beta 90.00
_cell_angle_gamma 90.00
loop_
_atom_site_label
_atom_site_type_symbol
_atom_site_fract_x
_atom_site_fract_y
_atom_site_fract_z
Sc1 Sc 0.000 0.000 0.500
Cd1 Cd 0.000 0.000 0.000



# 8
# Sc3Cd, optimized geometry, DFT GGA-PBEsol
# Magnetic moment in μB/f.u.: 0.6
# Polymorph energy (0 for the lowest one) in meV per atom: 0.0
# D(E_F) in states/eV per cell: 9.7
# Calculated formation energy in eV per atom: -0.16
data_Sc3Cd
_chemical_formula_sum 'Sc6 Cd2'
_space_group_name_H-M_alt 'P 63/m m c'
_space_group_IT_number 194
_space_group_name_Hall '-P 6c 2c'
_cell_length_a 6.2975
_cell_length_b 6.2975
_cell_length_c 5.1172
_cell_angle_alpha 90.00
_cell_angle_beta 90.00
_cell_angle_gamma 120.00
loop_
_atom_site_label
_atom_site_type_symbol
_atom_site_fract_x
_atom_site_fract_y
_atom_site_fract_z
Sc1 Sc 0.1694 0.3388 0.2500
Cd1 Cd 0.3333 0.6667 0.7500



# 9
# Sc8Cd, optimized geometry, DFT GGA-PBEsol
# Magnetic moment in μB/f.u.: 0.0
# D(E_F) in states/eV per cell: 35.3
# Calculated formation energy in eV per atom: -0.02
data_Sc8Cd
_chemical_formula_sum 'Sc16 Cd2'
_space_group_name_H-M_alt 'I 4/m m m'
_space_group_IT_number 139
_space_group_name_Hall '-I 4 2'
_cell_length_a 9.564
_cell_length_b 9.564
_cell_length_c 4.505
_cell_angle_alpha 90.00
_cell_angle_beta 90.00
_cell_angle_gamma 90.00
loop_
_atom_site_label
_atom_site_type_symbol
_atom_site_fract_x
_atom_site_fract_y
_atom_site_fract_z
Sc1 Sc 0.000 0.333 0.000
Sc2 Sc 0.165 0.165 0.500
Cd1 Cd 0.000 0.000 0.000



# 10
# ScCd8, optimized geometry, DFT GGA-PBEsol
# Magnetic moment in μB/f.u.: 0.0
# D(E_F) in states/eV per cell: 6.7
# Calculated formation energy in eV per atom: -0.12
data_ScCd8
_chemical_formula_sum 'Sc2 Cd16'
_space_group_name_H-M_alt 'I 4/m m m'
_space_group_IT_number 139
_space_group_name_Hall '-I 4 2'
_cell_length_a 9.134
_cell_length_b 9.134
_cell_length_c 4.417
_cell_angle_alpha 90.00
_cell_angle_beta 90.00
_cell_angle_gamma 90.00
loop_
_atom_site_label
_atom_site_type_symbol
_atom_site_fract_x
_atom_site_fract_y
_atom_site_fract_z
Sc1 Sc 0.000 0.000 0.000
Cd1 Cd 0.000 0.334 0.000
Cd2 Cd 0.167 0.167 0.500



# 11
# Sc5Cd3, optimized geometry, DFT GGA-PBEsol
# Magnetic moment in μB/f.u.: 0.6
# Polymorph energy (0 for the lowest one) in meV per atom: 23.7
# D(E_F) in states/eV per cell: 14.9
# Calculated formation energy in eV per atom: -0.17
data_Sc5Cd3
_chemical_formula_sum 'Sc10 Cd6'
_space_group_name_H-M_alt 'P 63/m c m'
_space_group_IT_number 193
_space_group_name_Hall '-P 6c 2'
_cell_length_a 8.6391
_cell_length_b 8.6391
_cell_length_c 5.4173
_cell_angle_alpha 90.00
_cell_angle_beta 90.00
_cell_angle_gamma 120.00
loop_
_atom_site_label
_atom_site_type_symbol
_atom_site_fract_x
_atom_site_fract_y
_atom_site_fract_z
Sc1 Sc 0.0000 0.2313 0.2500
Sc2 Sc 0.3333 0.6667 0.0000
Cd1 Cd 0.0000 0.4023 0.7500



# 12
# ScCd7, optimized geometry, DFT GGA-PBEsol
# Magnetic moment in μB/f.u.: 0.0
# Polymorph energy (0 for the lowest one) in meV per atom: 0.0
# D(E_F) in states/eV per cell: 13.9
# Calculated formation energy in eV per atom: -0.14
data_ScCd7
_chemical_formula_sum 'Sc4 Cd28'
_space_group_name_H-M_alt 'C m c m'
_space_group_IT_number 63
_space_group_name_Hall '-C 2c 2'
_cell_length_a 7.228
_cell_length_b 9.899
_cell_length_c 9.212
_cell_angle_alpha 90.00
_cell_angle_beta 90.00
_cell_angle_gamma 90.00
loop_
_atom_site_label
_atom_site_type_symbol
_atom_site_fract_x
_atom_site_fract_y
_atom_site_fract_z
Sc1 Sc 0.000 0.022 0.250
Cd1 Cd 0.000 0.211 0.517
Cd2 Cd 0.000 0.414 0.750
Cd3 Cd 0.203 0.301 0.250
Cd4 Cd 0.212 0.500 0.000